No. 1
Material: MgW
Method: DFT, PBE-GGA
State: relaxed

Cell and atoms, written as CIF:
```
data_MgW
_chemical_formula_sum 'Mg8 W8'
_space_group_name_H-M_alt 'I -4 3 m'
_space_group_IT_number 217
_space_group_name_Hall 'I -4 2 3'
_cell_length_a 8.744
_cell_length_b 8.744
_cell_length_c 8.744
_cell_angle_alpha 90.00
_cell_angle_beta 90.00
_cell_angle_gamma 90.00
loop_
_atom_site_label
_atom_site_type_symbol
_atom_site_fract_x
_atom_site_fract_y
_atom_site_fract_z
_atom_site_occupancy
Mg1 Mg 0.206 0.206 0.206 1
W1 W 0.100 0.100 0.900 1
```

Calculated values
size of the total moment = 5.72 μB per cell
volume = 41.79 A^3/atom
offset from the most stable computed form = 1.4697 eV/atom



No. 2
Material: MgW3
Method: DFT, PBE-GGA
State: relaxed

Cell and atoms, written as CIF:
```
data_MgW3
_chemical_formula_sum 'Mg1 W3'
_space_group_name_H-M_alt 'P m -3 m'
_space_group_IT_number 221
_space_group_name_Hall '-P 4 2 3'
_cell_length_a 4.618
_cell_length_b 4.618
_cell_length_c 4.618
_cell_angle_alpha 90.00
_cell_angle_beta 90.00
_cell_angle_gamma 90.00
loop_
_atom_site_label
_atom_site_type_symbol
_atom_site_fract_x
_atom_site_fract_y
_atom_site_fract_z
_atom_site_occupancy
Mg1 Mg 0.000 0.000 0.000 1
W1 W 0.000 0.000 0.500 1
```

Calculated values
size of the total moment = 0.00 μB per cell
volume = 24.63 A^3/atom
offset from the most stable computed form = 3.6835 eV/atom